(P)
K4Hg2O (PBE, optimized geometry); DOS(E_F) = 0.69 states/eV per atom; V = 37.005 Å³ per atom; space-group type = I4/mmm, No. 139
1.0
5.391 0.000 0.000
0.000 5.391 0.000
0.000 0.000 17.828
K Hg O
8 4 2
Direct
0.000 0.000 0.147
0.000 0.000 0.853
0.000 0.500 0.000
0.000 0.500 0.500
0.500 0.000 0.000
0.500 0.000 0.500
0.500 0.500 0.353
0.500 0.500 0.647
0.000 0.000 0.349
0.000 0.000 0.651
0.500 0.500 0.151
0.500 0.500 0.849
0.000 0.000 0.000
0.500 0.500 0.500

=====

(Q)
K4Hg2O (PBE, optimized geometry); DOS(E_F) = 0.32 states/eV per atom; V = 36.001 Å³ per atom; space-group type = C2/m, No. 12
1.0
16.951 0.000 0.000
0.000 4.144 0.000
-0.011 0.000 7.175
K Hg O
8 4 2
Direct
0.041 0.000 0.278
0.144 0.500 0.629
0.356 0.000 0.371
0.459 0.500 0.722
0.541 0.500 0.278
0.644 0.000 0.629
0.856 0.500 0.371
0.959 0.000 0.722
0.211 0.500 0.125
0.289 0.000 0.875
0.711 0.000 0.125
0.789 0.500 0.875
0.000 0.500 0.500
0.500 0.000 0.500

=====

Out of the structures above, which one is the most stable? Solution: (Q).